1.
An optimized crystal structure of NaNdHgTe3, computed with PBE.

Unit cell a=9.0797 b=4.5399 c=18.6588 alpha=90.00 beta=90.00 gamma=90.00
Closest atoms and distances in Å follow each position.
Space group Pnma (No. 62)
Asymmetric unit:
Na 0.0845 0.2500 0.1969  6 Te 3.33-3.52, 2 Hg 3.56
Nd 0.2177 0.2500 0.9608  7 Te 3.14-3.41
Hg 0.0312 0.2500 0.6672  4 Te 2.78-3.03
Te 0.0104 0.2500 0.4270  2 Hg 2.90
Te 0.1270 0.7500 0.0683  3 Nd 3.14-3.18, 2 Na 3.33
Te 0.2098 0.2500 0.7883  2 Hg 2.78-3.03

Properties
spin magnetization	0.00	Bohr magnetons per cell
energy	-3.471	eV/atom
relative energy among the computed polymorphs	48	meV/atom

2.
An optimized crystal structure of ScAlFeCu, computed with PBE.

Unit cell a=6.1278 b=6.1278 c=6.1278 alpha=90.00 beta=90.00 gamma=90.00
Closest atoms and distances in Å follow each position.
Space group F-43m (No. 216)
Asymmetric unit:
Sc 0.0000 0.0000 0.0000  4 Cu 2.65, 4 Al 2.65
Al 0.2500 0.2500 0.7500  4 Fe 2.65, 4 Sc 2.65
Fe 0.0000 0.0000 0.5000  4 Al 2.65, 4 Cu 2.65
Cu 0.2500 0.2500 0.2500  4 Fe 2.65, 4 Sc 2.65

Properties
spin magnetization	8.49	Bohr magnetons per cell
energy	-5.618	eV/atom
relative energy among the computed polymorphs	139	meV/atom

3.
An optimized crystal structure of Sm3NpN4, computed with PBE.

Unit cell a=7.0729 b=9.9189 c=3.5289 alpha=90.00 beta=90.00 gamma=90.00
Closest atoms and distances in Å follow each position.
Space group Cmmm (No. 65)
Asymmetric unit:
Sm 0.0000 0.0000 0.0000  6 N 2.58-2.66
Sm 0.2500 0.2500 0.5000  6 N 2.48-2.50
Np 0.0000 0.5000 0.0000  6 N 2.30-2.42
N 0.0000 0.2677 0.0000  1 Np 2.30, 4 Sm 2.50
N 0.2332 0.5000 0.5000  2 Np 2.42, 4 Sm 2.48-2.58

Properties
spin magnetization	5.84	Bohr magnetons per cell
energy	-8.952	eV/atom

4.
An optimized crystal structure of YBeReTe, computed with PBE.

Unit cell a=6.7425 b=6.7425 c=6.7425 alpha=90.00 beta=90.00 gamma=90.00
Closest atoms and distances in Å follow each position.
Space group F-43m (No. 216)
Asymmetric unit:
Y 0.0000 0.0000 0.0000  4 Re 2.92, 4 Te 2.92
Be 0.0000 0.0000 0.5000  4 Re 2.92, 4 Te 2.92
Re 0.2500 0.2500 0.2500  4 Be 2.92, 4 Y 2.92
Te 0.2500 0.2500 0.7500  4 Be 2.92, 4 Y 2.92

Properties
spin magnetization	2.23	Bohr magnetons per cell
energy	-5.763	eV/atom
relative energy among the computed polymorphs	389	meV/atom

5.
An optimized crystal structure of Cs2Na2ZnAs2, computed with PBE.

Unit cell a=5.4254 b=5.4254 c=30.6251 alpha=90.00 beta=90.00 gamma=120.00
Closest atoms and distances in Å follow each position.
Space group R-3m (No. 166, hexagonal axes)
Asymmetric unit:
Cs 0.0000 0.0000 0.2073  3 As 3.49
Na 0.0000 0.0000 0.3819  3 As 3.24, 3 Zn 3.47
Zn 0.0000 0.0000 0.0000  2 As 2.31
As 0.0000 0.0000 0.0755  1 Zn 2.31

Properties
energy	-2.517	eV/atom
relative energy among the computed polymorphs	0	meV/atom

6.
An optimized crystal structure of La2PrMg3Ir2Pd, computed with PBE.

Unit cell a=4.1371 b=13.1886 c=7.5432 alpha=90.00 beta=90.00 gamma=90.00
Closest atoms and distances in Å follow each position.
Space group Amm2 (No. 38)
Asymmetric unit:
La 0.0000 0.2104 0.0000  4 Ir 3.04-3.07, 1 Pd 3.21, 2 Mg 3.30
Pr 0.0000 0.0000 0.6300  4 Ir 3.10, 1 Pd 3.15, 6 Mg 3.28-3.44
Mg 0.5000 0.0000 0.9670  2 Pd 2.78, 2 Ir 2.93
Mg 0.5000 0.1201 0.3332  2 Pd 2.76, 2 Ir 2.93-2.95
Ir 0.5000 0.1684 0.7145  3 Mg 2.93-2.95, 4 La 3.04-3.07, 2 Pr 3.10
Pd 0.0000 0.0000 0.2127  6 Mg 2.76-2.78

Properties
spin magnetization	0.00	Bohr magnetons per cell
energy	-5.330	eV/atom

7.
An optimized crystal structure of Ta4ZnCoC2, computed with PBE.

Unit cell a=3.0972 b=3.0972 c=13.3809 alpha=90.00 beta=90.00 gamma=120.00
Closest atoms and distances in Å follow each position.
Space group P-6m2 (No. 187)
Asymmetric unit:
Ta 0.0000 0.0000 0.1467  3 C 2.19
Ta 0.3333 0.6667 0.3339  3 C 2.17
Zn 0.0000 0.0000 0.5000  6 Ta 2.85, 6 Zn 3.10
Co 0.3333 0.6667 0.0000  6 Ta 2.66
C 0.6667 0.3333 0.2417  6 Ta 2.17-2.19

Properties
spin magnetization	0.56	Bohr magnetons per cell
energy	-9.613	eV/atom

8.
An optimized crystal structure of Lu4AlAuC2, computed with PBE.

Unit cell a=3.5317 b=3.5317 c=14.5668 alpha=90.00 beta=90.00 gamma=120.00
Closest atoms and distances in Å follow each position.
Space group P-6m2 (No. 187)
Asymmetric unit:
Lu 0.0000 0.0000 0.1515  3 C 2.39
Lu 0.3333 0.6667 0.3304  3 C 2.45
Al 0.0000 0.0000 0.5000  6 Lu 3.20, 6 Al 3.53
Au 0.3333 0.6667 0.0000  6 Lu 3.00
C 0.6667 0.3333 0.2366  6 Lu 2.39-2.45

Properties
spin magnetization	0.02	Bohr magnetons per cell
energy	-5.908	eV/atom

9.
An optimized crystal structure of ErTm2Mg3Tl2Cd, computed with PBE.

Unit cell a=4.5863 b=13.0099 c=7.4951 alpha=90.00 beta=90.00 gamma=90.00
Closest atoms and distances in Å follow each position.
Space group Amm2 (No. 38)
Asymmetric unit:
Er 0.0000 0.0000 0.0000  4 Tl 3.21, 1 Cd 3.21, 2 Mg 3.38
Tm 0.0000 0.2137 0.3587  4 Tl 3.20, 1 Cd 3.21, 2 Mg 3.39
Mg 0.5000 0.0000 0.3322  2 Cd 2.91, 2 Tl 2.92, 2 Mg 3.12
Mg 0.5000 0.1199 0.6922  2 Tl 2.91-2.92, 2 Cd 2.92, 2 Mg 3.12
Tl 0.5000 0.1670 0.0725  3 Mg 2.91-2.92, 4 Tm 3.20, 2 Er 3.21
Cd 0.0000 0.0000 0.5714  6 Mg 2.91-2.92, 2 Tm 3.21, 1 Er 3.21

Properties
spin magnetization	0.01	Bohr magnetons per cell
energy	-2.936	eV/atom

10.
An optimized crystal structure of LaNdAu2, computed with PBE.

Unit cell a=4.8329 b=7.5218 c=5.9268 alpha=90.00 beta=90.00 gamma=90.00
Closest atoms and distances in Å follow each position.
Space group Pmn2_1 (No. 31)
Asymmetric unit:
La 0.0000 0.0656 0.0000  7 Au 3.13-3.24
Nd 0.0000 0.5650 0.2136  7 Au 3.10-3.17
Au 0.0000 0.2160 0.5078  2 Au 3.06, 4 La 3.13-3.21, 3 Nd 3.15-3.17
Au 0.0000 0.7022 0.7073  2 Au 3.06, 4 Nd 3.10-3.17, 3 La 3.22-3.24

Properties
spin magnetization	0.02	Bohr magnetons per cell
energy	-4.877	eV/atom

11.
An optimized crystal structure of LaNdMg4Pt2, computed with PBE.

Unit cell a=8.2806 b=4.2846 c=10.4352 alpha=90.00 beta=90.00 gamma=90.00
Closest atoms and distances in Å follow each position.
Space group Amm2 (No. 38)
Asymmetric unit:
La 0.0000 0.0000 0.0000  3 Pt 3.00-3.08
Nd 0.5000 0.0000 0.8777  3 Pt 3.01-3.07
Mg 0.1969 0.0000 0.2852  3 Pt 2.80, 2 Mg 3.07
Mg 0.3062 0.0000 0.5930  3 Pt 2.78-2.82, 2 Mg 3.07
Pt 0.0000 0.0000 0.7122  6 Mg 2.80-2.82, 3 La 3.00-3.08
Pt 0.5000 0.0000 0.1664  6 Mg 2.78-2.80, 3 Nd 3.01-3.07

Properties
spin magnetization	0.01	Bohr magnetons per cell
energy	-4.209	eV/atom

12.
An optimized crystal structure of NdErCuTe3, computed with PBE.

Unit cell a=4.1932 b=14.3087 c=11.1347 alpha=90.00 beta=90.00 gamma=90.00
Closest atoms and distances in Å follow each position.
Space group Cmcm (No. 63)
Asymmetric unit:
Nd 0.0000 0.2325 0.2500  6 Te 3.19-3.31, 2 Cu 3.56
Er 0.0000 0.0000 0.0000  6 Te 3.05-3.06
Cu 0.0000 0.4682 0.7500  4 Te 2.65-2.71
Te 0.0000 0.0885 0.7500  2 Cu 2.71
Te 0.0000 0.3532 0.5639  1 Cu 2.65

Properties
spin magnetization	0.05	Bohr magnetons per cell
energy	-4.789	eV/atom